1.
BaAl2Cl | GGA-PBE | relaxed

Structure (POSCAR):
```
BaAl2Cl
1.0
7.0615 -1.9044 0.0000
7.0615 1.9044 0.0000
-0.5238 0.0000 4.5480
Ba Al Cl
1 2 1
Direct
0.0000 0.0000 0.0000 Ba
0.2552 0.2552 0.7711 Al
0.7448 0.7448 0.2289 Al
0.5000 0.5000 0.5000 Cl
```

Properties
Crystal system: monoclinic



2.
Ba2AlCl | GGA-PBE | relaxed

Structure (POSCAR):
```
Ba2AlCl
1.0
3.9278 0.0000 0.0000
0.0000 3.9278 0.0000
0.0000 0.0000 8.9669
Ba Al Cl
2 1 1
Direct
0.0000 0.0000 0.2443 Ba
0.0000 0.0000 0.7557 Ba
0.5000 0.5000 0.0000 Al
0.5000 0.5000 0.5000 Cl
```

Properties
Crystal system: tetragonal



3.
Ba2AlCl | GGA-PBE | relaxed

Structure (POSCAR):
```
Ba2AlCl
1.0
0.0000 4.1963 4.1963
4.1963 0.0000 4.1963
4.1963 4.1963 0.0000
Ba Al Cl
2 1 1
Direct
0.2500 0.2500 0.2500 Ba
0.7500 0.7500 0.7500 Ba
0.0000 0.0000 0.0000 Al
0.5000 0.5000 0.5000 Cl
```

Properties
Crystal system: cubic



4.
BaAl2Cl | GGA-PBE | relaxed

Structure (POSCAR):
```
BaAl2Cl
1.0
3.9872 -2.3016 0.0000
3.9872 2.3016 0.0000
-2.5838 0.0000 8.3078
Ba Al Cl
1 2 1
Direct
0.0000 0.0000 0.0000 Ba
0.2348 0.2348 0.6963 Al
0.5673 0.5673 0.6935 Al
0.7271 0.7271 0.1861 Cl
```

Properties
Crystal system: monoclinic



5.
BaAl2Cl8 | GGA-PBE | relaxed

Structure (POSCAR):
```
BaAl2Cl8
1.0
6.6195 -3.7683 0.0000
6.6195 3.7683 0.0000
-2.1526 0.0000 7.2209
Ba Al Cl
1 2 8
Direct
0.0000 0.0000 0.0000 Ba
0.2008 0.2008 0.6867 Al
0.7992 0.7992 0.3133 Al
0.1016 0.6493 0.2278 Cl
0.1729 0.1729 0.3880 Cl
0.3507 0.8984 0.7722 Cl
0.3676 0.3676 0.8108 Cl
0.6324 0.6324 0.1892 Cl
0.6493 0.1016 0.2278 Cl
0.8271 0.8271 0.6120 Cl
0.8984 0.3507 0.7722 Cl
```

Properties
Crystal system: monoclinic



6.
Ba2AlCl2 | GGA-PBE | relaxed

Structure (POSCAR):
```
Ba2AlCl2
1.0
9.1460 0.0000 0.0000
0.0000 9.1460 0.0000
0.0000 0.0000 4.0418
Ba Al Cl
4 2 4
Direct
0.1803 0.3197 0.0000 Ba
0.3197 0.8197 0.0000 Ba
0.6803 0.1803 0.0000 Ba
0.8197 0.6803 0.0000 Ba
0.0000 0.0000 0.0000 Al
0.5000 0.5000 0.0000 Al
0.1251 0.6251 0.5000 Cl
0.3749 0.1251 0.5000 Cl
0.6251 0.8749 0.5000 Cl
0.8749 0.3749 0.5000 Cl
```

Properties
Crystal system: tetragonal



7.
BaAlCl | GGA-PBE | relaxed

Structure (POSCAR):
```
BaAlCl
1.0
5.1340 0.0000 0.0000
-2.5670 4.4462 0.0000
0.0000 0.0000 4.1410
Ba Al Cl
1 1 1
Direct
0.0000 0.0000 0.0000 Ba
0.3333 0.6667 0.5000 Al
0.6667 0.3333 0.5000 Cl
```

Properties
Crystal system: hexagonal



8.
BaAl2Cl | GGA-PBE | relaxed

Structure (POSCAR):
```
BaAl2Cl
1.0
3.8493 0.0000 0.0000
0.0000 3.8493 0.0000
0.0000 0.0000 9.2163
Ba Al Cl
1 2 1
Direct
0.0000 0.0000 0.0000 Ba
0.0000 0.0000 0.6280 Al
0.5000 0.5000 0.6993 Al
0.5000 0.5000 0.1607 Cl
```

Properties
Crystal system: tetragonal



9.
BaAl2Cl8 | GGA-PBE | relaxed

Structure (POSCAR):
```
BaAl2Cl8
1.0
8.3951 0.0000 0.0000
0.0000 7.2170 0.0000
-2.2179 0.0000 12.6388
Ba Al Cl
2 4 16
Direct
0.0000 0.1513 0.2500 Ba
0.0000 0.8487 0.7500 Ba
0.1915 0.2708 0.9374 Al
0.1915 0.7292 0.4374 Al
0.8085 0.2708 0.5626 Al
0.8085 0.7292 0.0626 Al
0.0622 0.2010 0.6052 Cl
0.0622 0.7990 0.1052 Cl
0.2418 0.4619 0.3745 Cl
0.2418 0.5381 0.8745 Cl
0.2614 0.2811 0.1076 Cl
0.2614 0.7189 0.6076 Cl
0.3216 0.0548 0.8709 Cl
0.3216 0.9452 0.3709 Cl
0.6784 0.0548 0.6291 Cl
0.6784 0.9452 0.1291 Cl
0.7386 0.2811 0.3924 Cl
0.7386 0.7189 0.8924 Cl
0.7582 0.4619 0.1255 Cl
0.7582 0.5381 0.6255 Cl
0.9378 0.2010 0.8948 Cl
0.9378 0.7990 0.3948 Cl
```

Properties
Crystal system: monoclinic



10.
BaAl2Cl | GGA-PBE | relaxed

Structure (POSCAR):
```
BaAl2Cl
1.0
1.9292 -2.9814 0.0000
1.9292 2.9814 0.0000
0.0000 0.0000 9.6675
Ba Al Cl
1 2 1
Direct
0.0000 0.0000 0.0000 Ba
0.5000 0.5000 0.2860 Al
0.5000 0.5000 0.7140 Al
0.0000 0.0000 0.5000 Cl
```

Properties
Crystal system: orthorhombic



11.
Ba2AlCl | GGA-PBE | relaxed

Structure (POSCAR):
```
Ba2AlCl
1.0
-2.4899 3.4290 4.5550
2.4899 -3.4290 4.5550
2.4899 3.4290 -4.5550
Ba Al Cl
2 1 1
Direct
0.2211 0.2211 0.0000 Ba
0.7789 0.7789 0.0000 Ba
0.5000 0.0000 0.5000 Al
0.0000 0.5000 0.5000 Cl
```

Properties
Crystal system: orthorhombic



12.
Ba2AlCl | GGA-PBE | relaxed

Structure (POSCAR):
```
Ba2AlCl
1.0
2.2842 1.3188 8.7285
-2.2842 1.3188 8.7285
0.0000 -2.6376 8.7285
Ba Al Cl
2 1 1
Direct
0.2479 0.2479 0.2479 Ba
0.7521 0.7521 0.7521 Ba
0.0000 0.0000 0.0000 Al
0.5000 0.5000 0.5000 Cl
```

Properties
Crystal system: trigonal



13.
Ba2AlCl | GGA-PBE | relaxed

Structure (POSCAR):
```
Ba2AlCl
1.0
4.2521 0.0000 0.0000
0.0000 4.0857 0.0000
-0.0096 0.0000 9.0691
Ba Al Cl
2 1 1
Direct
0.0005 0.0000 0.2252 Ba
0.9995 0.0000 0.7748 Ba
0.5000 0.5000 0.0000 Al
0.0000 0.5000 0.5000 Cl
```

Properties
Crystal system: monoclinic



14.
BaAlCl | GGA-PBE | relaxed

Structure (POSCAR):
```
BaAlCl
1.0
0.0000 3.7137 3.7137
3.7137 0.0000 3.7137
3.7137 3.7137 0.0000
Ba Al Cl
1 1 1
Direct
0.0000 0.0000 0.0000 Ba
0.5000 0.5000 0.5000 Al
0.2500 0.2500 0.2500 Cl
```

Properties
Crystal system: cubic



15.
BaAlCl | GGA-PBE | relaxed

Structure (POSCAR):
```
BaAlCl
1.0
-2.1946 2.2108 5.4315
2.1946 -2.2108 5.4315
2.1946 2.2108 -5.4315
Ba Al Cl
1 1 1
Direct
0.0000 0.0000 0.0000 Ba
0.3289 0.3289 0.0000 Al
0.5652 0.5652 0.0000 Cl
```

Properties
Crystal system: orthorhombic



16.
Ba2AlCl2 | GGA-PBE | relaxed

Structure (POSCAR):
```
Ba2AlCl2
1.0
-2.4070 2.4070 8.2589
2.4070 -2.4070 8.2589
2.4070 2.4070 -8.2589
Ba Al Cl
2 1 2
Direct
0.1319 0.1319 0.0000 Ba
0.8681 0.8681 0.0000 Ba
0.5000 0.5000 0.0000 Al
0.2500 0.7500 0.5000 Cl
0.7500 0.2500 0.5000 Cl
```

Properties
Crystal system: tetragonal



17.
BaAl2Cl | GGA-PBE | relaxed

Structure (POSCAR):
```
BaAl2Cl
1.0
3.8163 0.0000 0.0000
0.0000 4.5513 0.0000
0.0000 0.0000 6.9280
Ba Al Cl
1 2 1
Direct
0.0000 0.0000 0.0000 Ba
0.0000 0.5000 0.5000 Al
0.5000 0.0000 0.5000 Al
0.5000 0.5000 0.0000 Cl
```

Properties
Crystal system: orthorhombic



18.
Ba2AlCl | GGA-PBE | relaxed

Structure (POSCAR):
```
Ba2AlCl
1.0
-4.2833 4.2833 4.7437
4.2833 -4.2833 4.7437
4.2833 4.2833 -4.7437
Ba Al Cl
4 2 2
Direct
0.1006 0.1250 0.4756 Ba
0.3750 0.8994 0.0244 Ba
0.6494 0.6250 0.5244 Ba
0.8750 0.3506 0.9756 Ba
0.2500 0.7500 0.5000 Al
0.5000 0.5000 0.0000 Al
0.0000 0.0000 0.0000 Cl
0.7500 0.2500 0.5000 Cl
```

Properties
Crystal system: tetragonal



19.
BaAl2Cl | GGA-PBE | relaxed

Structure (POSCAR):
```
BaAl2Cl
1.0
0.0000 3.8968 3.8968
3.8968 0.0000 3.8968
3.8968 3.8968 0.0000
Ba Al Cl
1 2 1
Direct
0.0000 0.0000 0.0000 Ba
0.2500 0.2500 0.2500 Al
0.7500 0.7500 0.7500 Al
0.5000 0.5000 0.5000 Cl
```

Properties
Crystal system: cubic



20.
Ba2AlCl | GGA-PBE | relaxed

Structure (POSCAR):
```
Ba2AlCl
1.0
2.2625 1.3063 11.6947
-2.2625 1.3063 11.6947
0.0000 -2.6125 11.6947
Ba Al Cl
2 1 1
Direct
0.0000 0.0000 0.0000 Ba
0.2183 0.2183 0.2183 Ba
0.7300 0.7300 0.7300 Al
0.5069 0.5069 0.5069 Cl
```

Properties
Crystal system: trigonal



21.
BaAl2Cl | GGA-PBE | relaxed

Structure (POSCAR):
```
BaAl2Cl
1.0
0.0000 3.7589 3.7589
3.7589 0.0000 3.7589
3.7589 3.7589 0.0000
Ba Al Cl
1 2 1
Direct
0.0000 0.0000 0.0000 Ba
0.2500 0.2500 0.2500 Al
0.5000 0.5000 0.5000 Al
0.7500 0.7500 0.7500 Cl
```

Properties
Crystal system: cubic



22.
BaAl2Cl | GGA-PBE | relaxed

Structure (POSCAR):
```
BaAl2Cl
1.0
-2.1046 2.1046 14.0690
2.1046 -2.1046 14.0690
2.1046 2.1046 -14.0690
Ba Al Cl
2 4 2
Direct
0.0000 0.0000 0.0000 Ba
0.7500 0.2500 0.5000 Ba
0.1114 0.6250 0.9864 Al
0.3750 0.3614 0.4864 Al
0.6386 0.1250 0.0136 Al
0.8750 0.8886 0.5136 Al
0.2500 0.7500 0.5000 Cl
0.5000 0.5000 0.0000 Cl
```

Properties
Crystal system: tetragonal



23.
BaAl2Cl | GGA-PBE | relaxed

Structure (POSCAR):
```
BaAl2Cl
1.0
1.7801 1.0277 9.8427
-1.7801 1.0277 9.8427
0.0000 -2.0555 9.8427
Ba Al Cl
1 2 1
Direct
0.0000 0.0000 0.0000 Ba
0.2374 0.2374 0.2374 Al
0.7626 0.7626 0.7626 Al
0.5000 0.5000 0.5000 Cl
```

Properties
Crystal system: trigonal



24.
BaAl3Cl | GGA-PBE | relaxed

Structure (POSCAR):
```
BaAl3Cl
1.0
6.3914 0.0000 0.0000
0.0000 6.3914 0.0000
0.0000 0.0000 6.3914
Ba Al Cl
1 3 1
Direct
0.0000 0.0000 0.0000 Ba
0.0000 0.0000 0.5000 Al
0.0000 0.5000 0.0000 Al
0.5000 0.0000 0.0000 Al
0.5000 0.5000 0.5000 Cl
```

Properties
Crystal system: cubic



25.
BaAl2Cl | GGA-PBE | relaxed

Structure (POSCAR):
```
BaAl2Cl
1.0
2.9432 -7.0282 0.0000
2.9432 7.0282 0.0000
-2.7773 0.0000 2.9962
Ba Al Cl
1 2 1
Direct
0.0000 0.0000 0.0000 Ba
0.0000 0.5000 0.5000 Al
0.5000 0.0000 0.5000 Al
0.5000 0.5000 0.0000 Cl
```

Properties
Crystal system: monoclinic



26.
Ba2AlCl | GGA-PBE | relaxed

Structure (POSCAR):
```
Ba2AlCl
1.0
-2.3377 2.3377 7.1835
2.3377 -2.3377 7.1835
2.3377 2.3377 -7.1835
Ba Al Cl
2 1 1
Direct
0.0000 0.0000 0.0000 Ba
0.7500 0.2500 0.5000 Ba
0.5000 0.5000 0.0000 Al
0.2500 0.7500 0.5000 Cl
```

Properties
Crystal system: tetragonal



27.
Ba2AlCl | GGA-PBE | relaxed

Structure (POSCAR):
```
Ba2AlCl
1.0
0.0000 4.1228 4.1228
4.1228 0.0000 4.1228
4.1228 4.1228 0.0000
Ba Al Cl
2 1 1
Direct
0.0000 0.0000 0.0000 Ba
0.2500 0.2500 0.2500 Ba
0.5000 0.5000 0.5000 Al
0.7500 0.7500 0.7500 Cl
```

Properties
Crystal system: cubic



28.
BaAlCl5 | GGA-PBE | relaxed

Structure (POSCAR):
```
BaAlCl5
1.0
5.6338 -5.1050 0.0000
5.6338 5.1050 0.0000
-5.5736 0.0000 9.6745
Ba Al Cl
2 2 10
Direct
0.0000 0.5000 0.0000 Ba
0.5000 0.0000 0.5000 Ba
0.1635 0.8365 0.7500 Al
0.8365 0.1635 0.2500 Al
0.0904 0.1807 0.4269 Cl
0.1692 0.5913 0.8054 Cl
0.1807 0.0904 0.9269 Cl
0.3431 0.6569 0.2500 Cl
0.4087 0.8308 0.6946 Cl
0.5913 0.1692 0.3054 Cl
0.6569 0.3431 0.7500 Cl
0.8193 0.9096 0.0731 Cl
0.8308 0.4087 0.1946 Cl
0.9096 0.8193 0.5731 Cl
```

Properties
Crystal system: monoclinic



Number 1: V 122.32 Å³ per cell, formation energy (no corrections) -0.5182 eV/atom, total magnetic moment 0.000 Bohr magnetons per cell. Number 2: V 138.34 Å³ per cell, formation energy (no corrections) -0.8904 eV/atom, total magnetic moment 0.000 Bohr magnetons per cell. Number 3: V 147.78 Å³ per cell, formation energy (no corrections) -0.6768 eV/atom, total magnetic moment 1.998 Bohr magnetons per cell. Number 4: V 152.48 Å³ per cell, formation energy (no corrections) -0.6286 eV/atom, total magnetic moment 0.000 Bohr magnetons per cell. Number 5: V 360.24 Å³ per cell, formation energy (no corrections) -1.8162 eV/atom, total magnetic moment 0.000 Bohr magnetons per cell. Number 6: V 338.10 Å³ per cell, formation energy (no corrections) -1.1406 eV/atom, total magnetic moment 0.000 Bohr magnetons per cell. Number 7: V 94.53 Å³ per cell, formation energy (no corrections) -0.5783 eV/atom, total magnetic moment 0.000 Bohr magnetons per cell. Number 8: V 136.56 Å³ per cell, formation energy (no corrections) -0.5624 eV/atom, total magnetic moment 0.000 Bohr magnetons per cell. Number 9: V 765.75 Å³ per cell, formation energy (no corrections) -1.8504 eV/atom, total magnetic moment 0.000 Bohr magnetons per cell. Number 10: V 111.21 Å³ per cell, formation energy (no corrections) 0.1002 eV/atom, total magnetic moment 0.000 Bohr magnetons per cell. Number 11: V 155.56 Å³ per cell, formation energy (no corrections) -0.6886 eV/atom, total magnetic moment 1.035 Bohr magnetons per cell. Number 12: V 157.81 Å³ per cell, formation energy (no corrections) -0.8748 eV/atom, total magnetic moment 0.000 Bohr magnetons per cell. Number 13: V 157.55 Å³ per cell, formation energy (no corrections) -0.9264 eV/atom, total magnetic moment 0.000 Bohr magnetons per cell. Number 14: V 102.43 Å³ per cell, formation energy (no corrections) -0.5578 eV/atom, total magnetic moment 0.000 Bohr magnetons per cell. Number 15: V 105.41 Å³ per cell, formation energy (no corrections) -0.6671 eV/atom, total magnetic moment 0.000 Bohr magnetons per cell. Number 16: V 191.39 Å³ per cell, formation energy (no corrections) -1.2814 eV/atom, total magnetic moment 1.124 Bohr magnetons per cell. Number 17: V 120.33 Å³ per cell, formation energy (no corrections) -0.5260 eV/atom, total magnetic moment 0.000 Bohr magnetons per cell. Number 18: V 348.12 Å³ per cell, formation energy (no corrections) -0.7182 eV/atom, total magnetic moment 0.000 Bohr magnetons per cell. Number 19: V 118.35 Å³ per cell, formation energy (no corrections) 0.1291 eV/atom, total magnetic moment 0.000 Bohr magnetons per cell. Number 20: V 207.38 Å³ per cell, formation energy (no corrections) -0.4098 eV/atom, total magnetic moment 0.039 Bohr magnetons per cell. Number 21: V 106.22 Å³ per cell, formation energy (no corrections) -0.3440 eV/atom, total magnetic moment 0.000 Bohr magnetons per cell. Number 22: V 249.26 Å³ per cell, formation energy (no corrections) -0.5118 eV/atom, total magnetic moment 0.000 Bohr magnetons per cell. Number 23: V 108.04 Å³ per cell, formation energy (no corrections) 0.0728 eV/atom, total magnetic moment 0.000 Bohr magnetons per cell. Number 24: V 261.09 Å³ per cell, formation energy (no corrections) 1.1664 eV/atom, total magnetic moment 0.000 Bohr magnetons per cell. Number 25: V 123.96 Å³ per cell, formation energy (no corrections) -0.5061 eV/atom, total magnetic moment 0.000 Bohr magnetons per cell. Number 26: V 157.03 Å³ per cell, formation energy (no corrections) -0.6261 eV/atom, total magnetic moment 0.006 Bohr magnetons per cell. Number 27: V 140.15 Å³ per cell, formation energy (no corrections) -0.1996 eV/atom, total magnetic moment 0.798 Bohr magnetons per cell. Number 28: V 556.48 Å³ per cell, formation energy (no corrections) -1.9293 eV/atom, total magnetic moment 0.253 Bohr magnetons per cell.